# Tb3Ce2Ru2

A relaxed Tb3Ce2Ru2 crystal (PBE-GGA, the Alexandria database).

Results
D(E_F)   11.1 states/eV/f.u.

Lattice parameters (Å, degrees): 11.8457 3.7793 8.9411 90.00 112.69 90.00
Space group C2/m (No. 12)
Symmetry-distinct sites (fractional):
Tb (0.0000, 0.0000, 0.0000) [2 per cell]
Tb (0.1163, 0.0000, 0.4180) [4 per cell]
Ce (0.1709, 0.5000, 0.8116) [4 per cell]
Ru (0.1983, 0.5000, 0.2341) [4 per cell]



# TbCe2Ru3

A relaxed TbCe2Ru3 crystal (PBE-GGA, the Alexandria database).

Results
D(E_F)   3.5 states/eV/f.u.

Lattice parameters (Å, degrees): 4.7648 4.7732 12.1238 86.51 86.82 64.62
Space group P-1 (No. 2)
Symmetry-distinct sites (fractional):
Tb (0.1600, 0.1648, 0.3338) [2 per cell]
Ce (0.1747, 0.1661, 0.8319) [2 per cell]
Ce (0.5000, 0.5000, 0.0000) [1 per cell]
Ce (0.5000, 0.5000, 0.5000) [1 per cell]
Ru (0.1311, 0.1470, 0.0865) [2 per cell]
Ru (0.2042, 0.2025, 0.5766) [2 per cell]
Ru (0.4805, 0.4724, 0.7639) [2 per cell]



# Tb5CeRu3

A relaxed Tb5CeRu3 crystal (PBE-GGA, the Alexandria database).

Results
D(E_F)   5.6 states/eV/f.u.

Lattice parameters (Å, degrees): 12.2088 9.0490 9.7613 90.00 108.89 90.00
Space group C2/m (No. 12)
Symmetry-distinct sites (fractional):
Tb (0.0000, 0.1952, 0.0000) [4 per cell]
Tb (0.0340, 0.0000, 0.3479) [4 per cell]
Tb (0.1869, 0.3062, 0.6498) [8 per cell]
Tb (0.2361, 0.5000, 0.0439) [4 per cell]
Ce (0.0807, 0.5000, 0.2869) [4 per cell]
Ru (0.0000, 0.5000, 0.0000) [2 per cell]
Ru (0.0000, 0.5000, 0.5000) [2 per cell]
Ru (0.1600, 0.0000, 0.1665) [4 per cell]
Ru (0.2111, 0.0000, 0.6234) [4 per cell]



Number 1: V 369.3 Å³ per cell, M_tot 0.125 μB per formula unit, energy relative to the elements -0.306 eV per atom. Number 2: V 248.5 Å³ per cell, M_tot 0.000 μB per formula unit, energy relative to the elements -0.335 eV per atom. Number 3: V 1020.3 Å³ per cell, M_tot 0.000 μB per formula unit, energy relative to the elements -0.240 eV per atom.